No. 1
A relaxed structure of Pr2Dy5ErTh. Source: Alexandria, functional PBE.

## Properties
Crystal system = orthorhombic
SG = Cmc2_1, No. 36
ΔE_f = 167.6 meV/atom

POSCAR file:
```
Pr2Dy5ErTh
1.0
2.814 -9.962 0.000
2.814 9.962 0.000
0.000 0.000 10.791
Pr Dy Er Th
4 10 2 2
Cartesian
2.814 7.670 5.395
2.814 7.661 9.892
2.814 -7.661 4.497
2.814 -7.670 0.000
2.814 9.655 2.247
2.814 4.385 5.362
2.814 4.001 9.610
2.814 2.192 2.203
2.814 0.402 9.932
2.814 -0.402 4.537
2.814 -2.192 7.599
2.814 -4.001 4.215
2.814 -4.385 10.758
2.814 -9.655 7.642
2.814 5.973 2.073
2.814 -5.973 7.468
2.814 1.671 6.905
2.814 -1.671 1.509
```

=====

No. 2
A relaxed structure of SrPmCdPb. Source: Alexandria, functional PBE.

## Properties
Crystal system = cubic
SG = F-43m, No. 216
ΔE_f = -394.3 meV/atom

POSCAR file:
```
SrPmCdPb
1.0
0.000 3.971 3.971
3.971 0.000 3.971
3.971 3.971 0.000
Sr Pm Cd Pb
1 1 1 1
Cartesian
0.000 0.000 0.000
3.971 3.971 3.971
1.986 1.986 1.986
5.957 5.957 5.957
```

=====

Q: Which formula does entry 1 have?
A: Pr2Dy5ErTh

=====

Q: What is the ΔE_f in the first record?
A: 167.6 meV/atom

=====

Please write out number 2 again, unchanged.
A relaxed structure of SrPmCdPb. Source: Alexandria, functional PBE.

## Properties
Crystal system = cubic
SG = F-43m, No. 216
ΔE_f = -394.3 meV/atom

POSCAR file:
```
SrPmCdPb
1.0
0.000 3.971 3.971
3.971 0.000 3.971
3.971 3.971 0.000
Sr Pm Cd Pb
1 1 1 1
Cartesian
0.000 0.000 0.000
3.971 3.971 3.971
1.986 1.986 1.986
5.957 5.957 5.957
```